(1)
Here is an optimized crystal structure of LaPmSm2Ho from Alexandria. Energies are from PBE.

* space-group type: No. 13

Cell lengths 6.5414, 8.5486, 6.3125 Å; angles 96.17, 90.00, 90.00 degrees
Fractional coordinates of all 10 atoms:
Pm 0.4392 0.0000 0.7500
Pm 0.5608 0.0000 0.2500
Sm 0.3130 0.3139 0.2158
Sm 0.6870 0.3139 0.7158
Sm 0.3130 0.6861 0.2842
Sm 0.6870 0.6861 0.7842
Ho 0.1669 0.5000 0.7500
Ho 0.8331 0.5000 0.2500
La 0.0000 0.0000 0.0000
La 0.0000 0.0000 0.5000

=====

(2)
Here is an optimized crystal structure of LaPmSm3Ho from Alexandria. Energies are from PBE.

* space-group type: No. 12

Cell lengths 5.7821, 10.6497, 6.9278 Å; angles 90.73, 90.00, 105.75 degrees
Fractional coordinates of all 12 atoms:
Sm 0.5209 0.0418 0.7486
Sm 0.4791 0.9582 0.2514
Sm 0.2199 0.4399 0.2548
Sm 0.1592 0.3185 0.7450
Sm 0.7801 0.5601 0.7452
Sm 0.8408 0.6815 0.2550
La 0.6452 0.2905 0.0334
La 0.3548 0.7095 0.9666
Pm 0.6441 0.2882 0.4730
Pm 0.3559 0.7118 0.5270
Ho 0.9439 0.8878 0.7402
Ho 0.0561 0.1122 0.2598

=====

Number 1: E_form 0.273 eV per atom, D(E_F) 14.0 states/eV/cell, calculated total energy -44.66 eV for the cell shown. Number 2: E_form 0.192 eV per atom, D(E_F) 16.7 states/eV/cell, calculated total energy -54.52 eV for the cell shown.